No. 1
A geometry-optimized KAsPdBr2 structure. Source: Alexandria, functional PBE.

Uncorrected formation energy   0.6977 eV per atom
Volume   229 Å³/cell
ΔE to the lowest computed polymorph   1159 meV/atom

abc: 6.051 6.051 6.254
angles: 90.00 90.00 90.00
Each line ends with the local moment (μB).
Sites, in units of the cell vectors:
K1 0.000 0.000 0.000  0.03
As1 0.000 0.000 0.500  1.17
Br1 0.000 0.500 0.000  0.19
Br2 0.500 0.000 0.000  0.19
Pd1 0.500 0.500 0.500  0.53

No. 2
A geometry-optimized KAsPdBr2 structure. Source: Alexandria, functional PBE.

Uncorrected formation energy   -0.4617 eV per atom
Volume   147 Å³/cell
ΔE to the lowest computed polymorph   0 meV/atom

abc: 5.596 5.596 4.707
angles: 90.00 90.00 90.00
Each line ends with the local moment (μB).
Sites, in units of the cell vectors:
K1 0.500 0.500 0.500  0.00
As1 0.000 0.000 0.500  0.25
Br1 0.000 0.500 0.000  0.04
Br2 0.500 0.000 0.000  0.04
Pd1 0.000 0.000 0.000  0.02